Density functional theory data (PBE) for a relaxed BiPd2Pb3 crystal.

Properties
DOS at the Fermi energy: 2.6 states/eV/f.u.
Final energy: -52.80 eV per cell
Space-group type: C2/m, No. 12
E above lowest polymorph: 0 meV per atom
Formation energy: -0.168 eV per atom
Crystal system: monoclinic

Geometry as POSCAR:
```
BiPd2Pb3
1.0
8.770 -1.810 0.000
8.770 1.810 0.000
-6.331 0.000 9.840
Bi Pd Pb
2 4 6
direct
0.087 0.087 0.178 Bi
0.913 0.913 0.822 Bi
0.104 0.104 0.946 Pd
0.320 0.320 0.605 Pd
0.680 0.680 0.395 Pd
0.896 0.896 0.054 Pd
0.141 0.141 0.547 Pb
0.252 0.252 0.879 Pb
0.462 0.462 0.281 Pb
0.538 0.538 0.719 Pb
0.748 0.748 0.121 Pb
0.859 0.859 0.453 Pb
```